(1)
Below is a relaxed structure of VCuRh2, with properties calculated at the GGA-PBE level.

The structure in CIF format:
```
data_VCuRh2
_chemical_formula_sum 'V1 Cu1 Rh2'
_symmetry_space_group_name_H-M 'P 1'
_symmetry_Int_Tables_number 1
_cell_length_a 2.714
_cell_length_b 2.714
_cell_length_c 8.687
_cell_angle_alpha 81.01
_cell_angle_beta 81.01
_cell_angle_gamma 60.00
loop_
_symmetry_equiv_pos_as_xyz
'x,y,z'
loop_
_atom_site_label
_atom_site_type_symbol
_atom_site_fract_x
_atom_site_fract_y
_atom_site_fract_z
V1 V 0.666 0.666 0.001
Cu1 Cu 0.500 0.500 0.499
Rh1 Rh 0.081 0.081 0.758
Rh2 Rh 0.253 0.253 0.242
```

(2)
Below is a relaxed structure of Dy5Y4Tm, with properties calculated at the GGA-PBE level.

The structure in CIF format:
```
data_Dy5Y4Tm
_chemical_formula_sum 'Dy5 Y4 Tm1'
_symmetry_space_group_name_H-M 'P 1'
_symmetry_Int_Tables_number 1
_cell_length_a 5.882
_cell_length_b 8.033
_cell_length_c 8.033
_cell_angle_alpha 82.30
_cell_angle_beta 68.52
_cell_angle_gamma 68.52
loop_
_symmetry_equiv_pos_as_xyz
'x,y,z'
loop_
_atom_site_label
_atom_site_type_symbol
_atom_site_fract_x
_atom_site_fract_y
_atom_site_fract_z
Dy1 Dy 0.764 0.376 0.000
Dy2 Dy 0.140 0.000 0.624
Dy3 Dy 0.764 0.000 0.376
Dy4 Dy 0.140 0.624 0.000
Dy5 Dy 0.688 0.000 0.000
Y1 Y 0.450 0.321 0.679
Y2 Y 0.771 0.679 0.679
Y3 Y 0.128 0.321 0.321
Y4 Y 0.450 0.679 0.321
Tm1 Tm 0.216 0.000 0.000
```

Summary:
* relative energy among the computed polymorphs: 0.193 eV/atom

One value per record, in order, for E_form: -0.194 0.249 eV per atom.